[1]
Here is an optimized crystal structure of Ti5Ir3 from the Alexandria database. Energies are from PBE.

The structure in extended XYZ format:
```
8
Lattice="-0.895 0.969 -2.808 -2.038 -2.334 -0.155 -8.884 7.402 5.386" Properties=species:S:1:pos:R:3 pbc="T T T"
Ti -6.702 5.584 4.063
Ti -7.008 3.934 1.878
Ti 0.000 0.000 0.000
Ir -4.442 3.701 2.693
Ti -4.810 2.103 0.545
Ir -2.543 0.214 -0.829
Ti -2.182 1.818 1.323
Ir -9.275 5.823 3.252
```

Computed properties:
The value obtained for the formation enthalpy at 0 K is -0.7315 eV per atom. The value obtained for the volume is 122.79 Å³/cell. The symmetry is P4/mmm. As for the crystal system: tetragonal. Its total moment is 0.000 μB per cell. The calculation puts the mass density at 11.03 Mg/m³.

[2]
Here is an optimized crystal structure of SmPuTlPd from the Alexandria database. Energies are from PBE.

The structure in extended XYZ format:
```
4
Lattice="5.254 0.000 0.000 2.627 4.550 0.000 2.627 1.517 4.290" Properties=species:S:1:pos:R:3 pbc="T T T"
Tl 0.000 0.000 0.000
Pu 2.627 1.517 1.073
Pd 5.254 3.034 2.145
Sm 7.882 4.550 3.218
```

Computed properties:
The value obtained for the formation enthalpy at 0 K is -0.2661 eV per atom. The value obtained for the volume is 102.58 Å³/cell. The symmetry is F-43m. As for the crystal system: cubic. Its total moment is 5.703 μB per cell. The calculation puts the mass density at 11.42 Mg/m³.

[3]
Here is an optimized crystal structure of PmDyUO6 from the Alexandria database. Energies are from PBE.

The structure in extended XYZ format:
```
18
Lattice="5.813 0.000 0.000 -2.906 5.034 0.000 0.000 0.000 9.627" Properties=species:S:1:pos:R:3 pbc="T T T"
O -1.792 3.335 8.314
O 0.914 1.814 8.314
O -0.914 1.814 6.126
O -0.878 4.919 6.126
O 1.792 3.335 6.126
O 1.114 1.699 3.501
U 2.906 1.678 2.407
U 0.000 3.356 7.220
Dy 2.906 1.678 7.220
O 2.028 0.116 1.313
O 0.878 4.919 8.314
O 1.992 3.220 1.313
O 3.785 0.116 3.501
Pm 0.000 0.000 4.813
O 4.699 1.699 1.313
Dy 0.000 3.356 2.407
O 3.820 3.220 3.501
Pm 0.000 0.000 0.000
```

Computed properties:
The value obtained for the volume is 281.69 Å³/cell. The symmetry is P-31c. As for the crystal system: trigonal. Its total moment is 0.000 μB per cell. The value obtained for the uncorrected formation energy is -3.337 eV/atom. The calculation puts the mass density at 7.56 Mg/m³.

[4]
Here is an optimized crystal structure of Dy2TeSe from the Alexandria database. Energies are from PBE.

The structure in extended XYZ format:
```
4
Lattice="-1.069 3.952 -0.152 -1.095 1.690 -3.568 -7.657 0.054 0.023" Properties=species:S:1:pos:R:3 pbc="T T T"
Se -9.066 3.824 -2.464
Dy -6.144 0.452 -0.253
Dy -2.246 1.479 -0.962
Te -4.932 2.842 -1.845
```

Computed properties:
The value obtained for the volume is 105.88 Å³/cell. The symmetry is R3m. As for the crystal system: trigonal. Its total moment is 0.000 μB per cell. As for the energy relative to the lowest polymorph listed for this composition: 0 meV per atom. The value obtained for the uncorrected formation energy is -1.562 eV/atom. The calculation puts the mass density at 8.34 Mg/m³.

[5]
Here is an optimized crystal structure of DyUS2O from the Alexandria database. Energies are from PBE.

The structure in extended XYZ format:
```
10
Lattice="-0.059 -0.416 -3.808 3.780 -0.626 0.010 -2.190 -13.203 1.478" Properties=species:S:1:pos:R:3 pbc="T T T"
U -1.340 -8.110 -1.019
S -1.991 -12.035 -0.580
S -0.706 -4.283 -1.448
O -1.095 -6.602 0.739
Dy -0.066 -12.104 1.325
Dy -0.264 -1.621 -1.746
S 0.376 -9.441 1.027
O 0.765 -7.123 -1.160
S 1.662 -1.689 0.159
U 1.010 -5.614 0.598
```

Computed properties:
The value obtained for the volume is 197.63 Å³/cell. The symmetry is P4/nmm. As for the crystal system: tetragonal. Its total moment is 4.921 μB per cell. The value obtained for the uncorrected formation energy is -2.257 eV/atom. The calculation puts the mass density at 8.08 Mg/m³.

[6]
Here is an optimized crystal structure of BiTe from the Alexandria database. Energies are from PBE.

The structure in extended XYZ format:
```
2
Lattice="-0.115 -0.806 -4.287 3.182 -2.677 -1.322 -1.426 -4.014 -0.947" Properties=species:S:1:pos:R:3 pbc="T T T"
Bi 0.821 -3.748 -3.278
Te 0.000 0.000 0.000
```

Computed properties:
The value obtained for the volume is 67.50 Å³/cell. The symmetry is R-3m. As for the crystal system: trigonal. Its total moment is 0.000 μB per cell. As for the energy relative to the lowest polymorph listed for this composition: 122 meV per atom. The value obtained for the uncorrected formation energy is -0.078 eV/atom. The calculation puts the mass density at 8.28 Mg/m³.

> The highest mass density belongs to which entry?

SmPuTlPd

> Among the records above, which one has the highest mass density?

SmPuTlPd